No. 1
A geometry-optimized Zr2NbSn structure. Source: the Alexandria database, functional PBE.

Cell: 3.276 3.276 9.777 Å, 80.36 80.36 60.00°
Element x y z (fractional)
Sn 0.500 0.500 0.500
Zr 0.254 0.254 0.239
Zr 0.746 0.746 0.761
Nb 0.000 0.000 0.000

## Properties
The formation energy comes out at -0.11 eV per formula unit. Its space group is R-3m, No. 166.

No. 2
A geometry-optimized ZrNbSn2 structure. Source: the Alexandria database, functional PBE.

Cell: 4.932 4.932 4.932 Å, 60.00 60.00 60.00°
Element x y z (fractional)
Zr 0.000 0.000 0.000
Nb 0.500 0.500 0.500
Sn 0.750 0.750 0.750
Sn 0.250 0.250 0.250

## Properties
For the energy above the most stable polymorph in this dataset, the calculation gives 0.044 eV/atom. The formation energy comes out at -0.32 eV per formula unit. Its space group is Fm-3m, No. 225.

No. 3
A geometry-optimized Zr2NbSn structure. Source: the Alexandria database, functional PBE.

Cell: 7.897 7.897 6.302 Å, 51.21 51.21 90.00°
Element x y z (fractional)
Zr 0.612 0.125 0.250
Zr 0.375 0.388 0.750
Zr 0.875 0.862 0.750
Zr 0.138 0.625 0.250
Nb 0.250 0.750 0.500
Nb 0.500 0.500 0.000
Sn 0.750 0.250 0.500
Sn 0.000 0.000 0.000

## Properties
The formation energy comes out at 1.23 eV per formula unit. Its space group is I-42d, No. 122.

Which of these has the lowest formation energy? ZrNbSn2

The highest formation energy belongs to which entry? number 3